A plane-wave DFT calculation with PBE+U was carried out for a relaxed Li3Fe2P3O12 crystal.

Structure (POSCAR):
```
Li3Fe2P3O12
1.0
8.373 0.000 0.000
4.179 7.267 0.000
4.158 2.435 7.574
Li Fe P O
6 4 6 24
Direct
0.000 0.000 0.000
0.070 0.410 0.709
0.409 0.261 0.990
0.492 0.767 0.502
0.659 0.593 0.986
0.816 0.061 0.712
0.086 0.675 0.814
0.390 0.980 0.899
0.591 0.185 0.293
0.887 0.474 0.417
0.196 0.071 0.608
0.271 0.582 0.105
0.482 0.376 0.605
0.696 0.872 0.103
0.783 0.791 0.606
0.989 0.294 0.100
0.124 0.530 0.284
0.198 0.120 0.756
0.205 0.163 0.046
0.227 0.854 0.666
0.242 0.798 0.046
0.250 0.535 0.966
0.266 0.502 0.662
0.362 0.099 0.439
0.480 0.452 0.116
0.524 0.334 0.440
0.529 0.180 0.760
0.569 0.834 0.051
0.586 0.800 0.758
0.605 0.080 0.113
0.611 0.477 0.576
0.722 0.728 0.282
0.748 0.944 0.433
0.859 0.201 0.117
0.873 0.584 0.591
0.895 0.864 0.952
0.915 0.823 0.659
0.934 0.336 0.268
0.948 0.489 0.941
0.993 0.203 0.586
```

Results
Relative energy among the computed polymorphs ... 42 meV/atom
Density ... 3.01 Mg/m³
M_tot ... 15.856 μB per cell
Volume ... 11.52 Å³/atom
E_tot ... -269.09 eV per cell